(1)
Entry from OQMD: a geometry-optimized SrInPd structure (PBE).

a b c (Å): 7.6521 4.5494 8.7142
angles (deg): 90.00 90.00 90.00
Last column: nearest neighbours and their distance in Å.
Space group Pnma (No. 62)
Symmetry-distinct sites (fractional):
Sr 0.0325 0.2500 0.1792 x4  5 Pd 3.20-3.31, 5 In 3.45-3.51
In 0.1444 0.2500 0.5626 x4  4 Pd 2.87-2.90
Pd 0.2251 0.7500 0.3754 x4  4 In 2.87-2.90, 2 Sr 3.20

***

(2)
Entry from OQMD: a geometry-optimized SrInPd structure (PBE).

a b c (Å): 6.9767 6.9767 6.9767
angles (deg): 90.00 90.00 90.00
Last column: nearest neighbours and their distance in Å.
Space group F-43m (No. 216)
Symmetry-distinct sites (fractional):
Sr 0.0000 0.0000 0.0000 x4  4 Pd 3.02
In 0.0000 0.0000 0.5000 x4  4 Pd 3.02
Pd 0.2500 0.2500 0.7500 x4  4 In 3.02, 4 Sr 3.02

***

(3)
Entry from OQMD: a geometry-optimized SrIn2Pd2 structure (PBE).

a b c (Å): 4.5411 4.5411 11.7412
angles (deg): 90.00 90.00 90.00
Last column: nearest neighbours and their distance in Å.
Space group I4/mmm (No. 139)
Symmetry-distinct sites (fractional):
Sr 0.0000 0.0000 0.0000 x2  8 Pd 3.48, 8 In 3.71
In 0.0000 0.5000 0.2500 x4  4 Pd 2.77
Pd 0.0000 0.0000 0.3849 x4  1 Pd 2.70, 4 In 2.77

***

(4)
Entry from OQMD: a geometry-optimized SrInPd structure (PBE).

a b c (Å): 7.2484 7.2484 7.2484
angles (deg): 90.00 90.00 90.00
Last column: nearest neighbours and their distance in Å.
Space group F-43m (No. 216)
Symmetry-distinct sites (fractional):
Sr 0.0000 0.0000 0.0000 x4  4 In 3.14, 4 Pd 3.14
In 0.2500 0.2500 0.7500 x4  4 Sr 3.14
Pd 0.2500 0.2500 0.2500 x4  4 Sr 3.14

***

| no. | calculated total energy (eV/atom) |
| --- | --- |
| 1 | -3.860 |
| 2 | -3.678 |
| 3 | -4.080 |
| 4 | -3.081 |